# NaLi2HgF

An optimized crystal structure of NaLi2HgF (PBE-GGA, the Alexandria database).

The structure in POSCAR format:
```
NaLi2HgF
1.0
-4.3619 1.1431 -2.0940
-2.7372 -4.1991 3.4094
-0.8076 3.3987 3.5375
Na Li Hg F
1 2 1 1
Direct
0.0000 0.5000 0.0000 Na
0.0000 0.0000 0.5000 Li
0.5000 0.0000 0.0000 Li
0.0000 0.0000 0.0000 Hg
0.5000 0.5000 0.5000 F
```

Output
Calculated volume in Å³/cell: 149.84
ΔE_f (raw) in eV per atom: -0.35
Raw total energy in eV per atom: -1.8140
Space-group type: No. 123
Distance to the lowest polymorph of the same formula in meV/atom: 792.6